# CuReNF2 PBE-GGA relaxed
data_CuReNF2
_cell_length_a 3.478
_cell_length_b 3.478
_cell_length_c 5.880
_cell_angle_alpha 90.00
_cell_angle_beta 90.00
_cell_angle_gamma 90.00
_symmetry_space_group_name_H-M 'P 1'
_symmetry_Int_Tables_number 1
loop_
_symmetry_equiv_pos_as_xyz
'x,y,z'
loop_
_atom_site_label
_atom_site_fract_x
_atom_site_fract_y
_atom_site_fract_z
Cu1 0.000 0.000 0.000
Re1 0.500 0.500 0.500
N1 0.000 0.000 0.500
F1 0.000 0.500 0.000
F2 0.500 0.000 0.000
# SG: No. 123
# total energy: -5.23 eV per atom
# total magnetic moment: 0.74 μB per atom
# energy above the lowest structure with this stoichiometry: 721 meV per atom
# density of states at the Fermi level: 2.334 states/eV/cell
# calculated density: 7.0 Mg/m³

---

# CuRhN2F PBE-GGA relaxed
data_CuRhN2F
_cell_length_a 3.816
_cell_length_b 3.816
_cell_length_c 3.684
_cell_angle_alpha 90.00
_cell_angle_beta 90.00
_cell_angle_gamma 90.00
_symmetry_space_group_name_H-M 'P 1'
_symmetry_Int_Tables_number 1
loop_
_symmetry_equiv_pos_as_xyz
'x,y,z'
loop_
_atom_site_label
_atom_site_fract_x
_atom_site_fract_y
_atom_site_fract_z
Cu1 0.000 0.000 0.000
Rh1 0.500 0.500 0.500
N1 0.000 0.500 0.000
N2 0.500 0.000 0.000
F1 0.000 0.000 0.500
# SG: No. 123
# total energy: -4.76 eV per atom
# total magnetic moment: 0.14 μB per atom
# energy above the lowest structure with this stoichiometry: 381 meV per atom
# density of states at the Fermi level: 6.655 states/eV/cell
# calculated density: 6.6 Mg/m³

---

# CuRhN2F PBE-GGA relaxed
data_CuRhN2F
_cell_length_a 3.795
_cell_length_b 3.795
_cell_length_c 4.373
_cell_angle_alpha 90.00
_cell_angle_beta 90.00
_cell_angle_gamma 90.00
_symmetry_space_group_name_H-M 'P 1'
_symmetry_Int_Tables_number 1
loop_
_symmetry_equiv_pos_as_xyz
'x,y,z'
loop_
_atom_site_label
_atom_site_fract_x
_atom_site_fract_y
_atom_site_fract_z
Cu1 0.000 0.000 0.000
Rh1 0.500 0.500 0.500
N1 0.000 0.500 0.500
N2 0.500 0.000 0.500
F1 0.500 0.500 0.000
# SG: No. 123
# total energy: -5.14 eV per atom
# total magnetic moment: 0.08 μB per atom
# energy above the lowest structure with this stoichiometry: 0 meV per atom
# density of states at the Fermi level: 3.563 states/eV/cell
# calculated density: 5.6 Mg/m³

---

# CuSNF2 PBE-GGA relaxed
data_CuSNF2
_cell_length_a 3.730
_cell_length_b 3.730
_cell_length_c 4.331
_cell_angle_alpha 90.00
_cell_angle_beta 90.00
_cell_angle_gamma 90.00
_symmetry_space_group_name_H-M 'P 1'
_symmetry_Int_Tables_number 1
loop_
_symmetry_equiv_pos_as_xyz
'x,y,z'
loop_
_atom_site_label
_atom_site_fract_x
_atom_site_fract_y
_atom_site_fract_z
Cu1 0.000 0.000 0.000
S1 0.500 0.500 0.500
N1 0.000 0.000 0.500
F1 0.000 0.500 0.000
F2 0.500 0.000 0.000
# SG: No. 123
# total energy: -3.69 eV per atom
# total magnetic moment: 0.13 μB per atom
# energy above the lowest structure with this stoichiometry: 171 meV per atom
# density of states at the Fermi level: 2.496 states/eV/cell
# calculated density: 4.1 Mg/m³

---

Q: Which of these has the lowest density of states at the Fermi level?
A: CuReNF2

---

Q: Number 3 is which compound?
A: CuRhN2F

---

Q: Which value of density of states at the Fermi level does entry 2 give?
A: 6.655 states/eV/cell